NpMnGa2: relaxed, GGA-PBE.

```
NpMnGa2
1.0
2.727 0.000 0.000
0.000 2.727 0.000
0.000 0.000 8.534
Np Mn Ga
1 1 2
direct
0.000 0.000 0.000
0.000 0.000 0.500
0.500 0.500 0.288
0.500 0.500 0.712
```

Values from the calculation:
energy of formation from the pure elements = -0.06 eV per atom
calculated volume = 15.9 Å³/atom